The following is a DFT calculation (GGA-PBE) of crystalline Pm2PrDy4Sc at its relaxed geometry.

```
data_Pm2PrDy4Sc
_cell_length_a 5.881
_cell_length_b 5.881
_cell_length_c 7.400
_cell_angle_alpha 90.00
_cell_angle_beta 90.00
_cell_angle_gamma 90.00
_space_group_name_H-M_alt 'P 1'
_space_group_IT_number 1
_space_group_name_Hall 'P 1'
loop_
_atom_site_label
_atom_site_type_symbol
_atom_site_fract_x
_atom_site_fract_y
_atom_site_fract_z
_atom_site_occupancy
Pm1 Pm 0.000 0.000 0.000 1
Pm2 Pm 0.500 0.500 0.500 1
Pr1 Pr 0.000 0.000 0.500 1
Dy1 Dy 0.000 0.500 0.240 1
Dy2 Dy 0.000 0.500 0.760 1
Dy3 Dy 0.500 0.000 0.240 1
Dy4 Dy 0.500 0.000 0.760 1
Sc1 Sc 0.500 0.500 0.000 1
```

Output
formation energy	0.134	eV/atom
uncorrected energy	-4.744	eV per atom

---

The following is a DFT calculation (GGA-PBE) of crystalline PmPrDy2Se4 at its relaxed geometry.

```
data_PmPrDy2Se4
_cell_length_a 7.131
_cell_length_b 4.083
_cell_length_c 7.346
_cell_angle_alpha 90.00
_cell_angle_beta 108.62
_cell_angle_gamma 90.00
_space_group_name_H-M_alt 'P 1'
_space_group_IT_number 1
_space_group_name_Hall 'P 1'
loop_
_atom_site_label
_atom_site_type_symbol
_atom_site_fract_x
_atom_site_fract_y
_atom_site_fract_z
_atom_site_occupancy
Pm1 Pm 0.000 0.000 0.000 1
Pr1 Pr 0.500 0.500 0.000 1
Dy1 Dy 0.000 0.500 0.500 1
Dy2 Dy 0.500 0.000 0.500 1
Se1 Se 0.242 0.000 0.734 1
Se2 Se 0.252 0.500 0.264 1
Se3 Se 0.748 0.500 0.736 1
Se4 Se 0.758 0.000 0.266 1
```

Output
uncorrected energy	-5.881	eV per atom
uncorrected formation energy	-14.4	eV/f.u.

---

The following is a DFT calculation (GGA-PBE) of crystalline PmPr2Dy3Se6 at its relaxed geometry.

```
data_PmPr2Dy3Se6
_cell_length_a 9.345
_cell_length_b 9.345
_cell_length_c 8.421
_cell_angle_alpha 104.48
_cell_angle_beta 104.48
_cell_angle_gamma 25.43
_space_group_name_H-M_alt 'P 1'
_space_group_IT_number 1
_space_group_name_Hall 'P 1'
loop_
_atom_site_label
_atom_site_type_symbol
_atom_site_fract_x
_atom_site_fract_y
_atom_site_fract_z
_atom_site_occupancy
Pm1 Pm 0.000 0.000 0.000 1
Pr1 Pr 0.333 0.333 0.666 1
Pr2 Pr 0.667 0.667 0.334 1
Dy1 Dy 0.000 0.000 0.500 1
Dy2 Dy 0.332 0.332 0.166 1
Dy3 Dy 0.668 0.668 0.834 1
Se1 Se 0.163 0.163 0.593 1
Se2 Se 0.169 0.169 0.072 1
Se3 Se 0.496 0.496 0.256 1
Se4 Se 0.504 0.504 0.744 1
Se5 Se 0.831 0.831 0.928 1
Se6 Se 0.837 0.837 0.407 1
```

Output
uncorrected energy	-5.885	eV per atom
uncorrected formation energy	-21.6	eV/f.u.

---

The following is a DFT calculation (GGA-PBE) of crystalline PmPr2DySe5 at its relaxed geometry.

```
data_PmPr2DySe5
_cell_length_a 5.142
_cell_length_b 5.142
_cell_length_c 10.949
_cell_angle_alpha 90.00
_cell_angle_beta 90.00
_cell_angle_gamma 90.00
_space_group_name_H-M_alt 'P 1'
_space_group_IT_number 1
_space_group_name_Hall 'P 1'
loop_
_atom_site_label
_atom_site_type_symbol
_atom_site_fract_x
_atom_site_fract_y
_atom_site_fract_z
_atom_site_occupancy
Pm1 Pm 0.000 0.000 0.000 1
Pr1 Pr 0.500 0.500 0.323 1
Pr2 Pr 0.500 0.500 0.677 1
Dy1 Dy 0.000 0.000 0.500 1
Se1 Se 0.000 0.000 0.249 1
Se2 Se 0.000 0.000 0.751 1
Se3 Se 0.000 0.500 0.500 1
Se4 Se 0.500 0.000 0.500 1
Se5 Se 0.500 0.500 0.000 1
```

Output
uncorrected energy	-5.342	eV per atom
uncorrected formation energy	-11.7	eV/f.u.